(1)
This record from Alexandria describes an optimized crystal structure of Na4CdIn15. The functional is PBE-GGA.

Computed properties:
ΔE_f = -58 meV per atom
total moment = 0.000 μB/cell
electronic total energy = -2.42 eV per atom

Cell and atoms, written as extended XYZ:
```
20
Lattice="4.686 0.000 0.000 0.000 4.686 0.000 0.000 0.000 23.899" Properties=species:S:1:pos:R:3 pbc="T T T"
In 0.000 2.343 16.706
In 0.000 2.343 11.949
In 2.343 0.000 7.193
In 2.343 2.343 9.552
In 0.000 2.343 21.522
In 0.000 2.343 2.377
In 2.343 2.343 19.055
In 0.000 2.343 7.193
In 2.343 0.000 11.949
In 2.343 0.000 21.522
In 2.343 2.343 4.844
In 2.343 2.343 14.347
In 2.343 0.000 16.706
In 2.343 2.343 0.000
In 2.343 0.000 2.377
Na 0.000 0.000 14.329
Na 0.000 0.000 19.094
Na 0.000 0.000 9.569
Na 0.000 0.000 4.805
Cd 0.000 0.000 0.000
```

---

(2)
This record from Alexandria describes an optimized crystal structure of Na2SrSeO. The functional is PBE-GGA.

Computed properties:
offset from the most stable computed form = 0 meV/atom
total moment = 0.000 μB/cell
electronic total energy = -4.20 eV per atom
formation energy (no corrections) = -1.643 eV per atom

Cell and atoms, written as extended XYZ:
```
5
Lattice="-1.251 -3.716 -2.412 3.392 -2.416 1.963 -3.078 -1.343 3.665" Properties=species:S:1:pos:R:3 pbc="T T T"
O 0.000 0.000 0.000
Se -0.468 -3.738 1.608
Na 1.696 -1.208 0.982
Na -0.626 -1.858 -1.206
Sr -1.539 -0.671 1.832
```

---

(3)
This record from Alexandria describes an optimized crystal structure of Y2OsW. The functional is PBE-GGA.

Computed properties:
ΔE_f = 533 meV per atom
offset from the most stable computed form = 484 meV/atom
total moment = 2.799 μB/cell
electronic total energy = -8.74 eV per atom

Cell and atoms, written as extended XYZ:
```
4
Lattice="4.888 -0.617 -0.135 2.309 -2.210 3.752 1.899 -4.510 -0.588" Properties=species:S:1:pos:R:3 pbc="T T T"
Y 6.823 -5.503 2.272
Y 2.274 -1.834 0.757
W 0.000 0.000 0.000
Os 4.549 -3.669 1.515
```

---

(4)
This record from Alexandria describes an optimized crystal structure of Nd2SnHPd6. The functional is PBE-GGA.

Computed properties:
total moment = 0.000 μB/cell
electronic total energy = -5.45 eV per atom

Cell and atoms, written as extended XYZ:
```
10
Lattice="5.797 -0.001 -0.002 0.001 7.143 -0.919 2.900 2.934 4.081" Properties=species:S:1:pos:R:3 pbc="T T T"
Nd 2.900 7.101 1.114
Nd 5.798 2.975 2.045
Pd 4.329 4.980 -0.491
Pd 2.900 3.676 1.540
Pd 5.799 6.400 1.619
Pd 1.469 4.980 -0.490
Pd 7.229 5.095 3.649
Pd 4.369 5.096 3.650
Sn 0.000 0.000 0.000
H 2.899 3.571 -0.461
```

---

(5)
This record from Alexandria describes an optimized crystal structure of SmHgPdPt. The functional is PBE-GGA.

Computed properties:
ΔE_f = -681 meV per atom
total moment = 0.000 μB/cell
electronic total energy = -4.74 eV per atom

Cell and atoms, written as extended XYZ:
```
4
Lattice="-3.852 2.888 -0.681 -4.451 -1.926 -0.354 -3.221 0.644 3.586" Properties=species:S:1:pos:R:3 pbc="T T T"
Sm 0.000 0.000 0.000
Hg -5.762 0.803 1.275
Pt -8.643 1.205 1.913
Pd -2.881 0.402 0.638
```

---

(6)
This record from Alexandria describes an optimized crystal structure of Hf2MnTl3Se6. The functional is PBE-GGA.

Computed properties:
total moment = 4.630 μB/cell
electronic total energy = -5.58 eV per atom
formation energy (no corrections) = -0.826 eV per atom

Cell and atoms, written as extended XYZ:
```
12
Lattice="-4.805 0.636 4.512 1.096 -5.867 -2.867 6.633 -0.193 5.474" Properties=species:S:1:pos:R:3 pbc="T T T"
Tl 1.462 -2.712 3.560
Tl -0.497 -0.553 6.009
Tl 3.421 -4.871 1.110
Se 1.367 -2.318 0.157
Se -1.471 -3.842 2.209
Se 4.396 -1.582 4.910
Se 1.558 -3.107 6.962
Se -0.605 -0.145 2.623
Se 3.529 -5.279 4.496
Hf -2.837 -1.533 2.051
Hf -0.872 -3.698 -0.406
Mn 0.000 0.000 0.000
```

---

(7)
This record from Alexandria describes an optimized crystal structure of YIn2Bi2. The functional is PBE-GGA.

Computed properties:
ΔE_f = 26 meV per atom
offset from the most stable computed form = 232 meV/atom
total moment = 0.000 μB/cell
electronic total energy = -3.91 eV per atom

Cell and atoms, written as extended XYZ:
```
5
Lattice="-3.236 3.204 -0.063 -3.035 -3.092 -1.403 -4.859 -1.543 6.523" Properties=species:S:1:pos:R:3 pbc="T T T"
Y 0.000 0.000 0.000
In -7.676 -1.192 4.450
In -3.454 -0.239 0.607
Bi -5.615 0.859 2.864
Bi -5.515 -2.290 2.194
```

---

(8)
This record from Alexandria describes an optimized crystal structure of Li3U3CoSe8. The functional is PBE-GGA.

Computed properties:
total moment = 7.837 μB/cell
electronic total energy = -5.98 eV per atom
formation energy (no corrections) = -1.010 eV per atom

Cell and atoms, written as extended XYZ:
```
15
Lattice="-5.095 -5.738 -1.311 7.472 -0.899 -1.990 -1.989 -0.007 7.764" Properties=species:S:1:pos:R:3 pbc="T T T"
Li 0.000 0.000 0.000
Li 1.189 -3.319 -1.650
Li 3.736 -0.449 -0.995
Se -5.359 -4.426 4.717
Se -2.632 -1.355 5.419
Se -1.555 -4.800 3.942
Se 5.748 -2.218 -0.255
Se 3.021 -5.290 -0.956
Se -0.452 -4.872 -0.032
Se 0.841 -1.773 4.495
Se 1.944 -1.845 0.520
U 0.194 -3.322 2.231
U -3.542 -2.873 3.226
U 2.742 -0.453 2.887
Co -0.994 -0.004 3.882
```

---

What did the seventh record say?
This record from Alexandria describes an optimized crystal structure of YIn2Bi2. The functional is PBE-GGA.

Computed properties:
ΔE_f = 26 meV per atom
offset from the most stable computed form = 232 meV/atom
total moment = 0.000 μB/cell
electronic total energy = -3.91 eV per atom

Cell and atoms, written as extended XYZ:
```
5
Lattice="-3.236 3.204 -0.063 -3.035 -3.092 -1.403 -4.859 -1.543 6.523" Properties=species:S:1:pos:R:3 pbc="T T T"
Y 0.000 0.000 0.000
In -7.676 -1.192 4.450
In -3.454 -0.239 0.607
Bi -5.615 0.859 2.864
Bi -5.515 -2.290 2.194
```